A) The following is a DFT calculation (PBE) of a relaxed BaCa3Si crystal.

Cell: 5.7666 5.7666 5.7666 Å, 90.00 90.00 90.00°
Last column: nearest neighbours and their distance in Å.
Sites, in units of the cell vectors:
Ca: 0.0000 0.5000 0.0000  2 Ba 2.88
Ca: 0.0000 0.0000 0.5000  2 Ba 2.88
Ca: 0.5000 0.0000 0.0000  2 Ba 2.88
Si: 0.5000 0.5000 0.5000  12 Ca 4.08
Ba: 0.0000 0.0000 0.0000  6 Ca 2.88

Properties
density of states at the Fermi level = 1.22 states/eV per atom

B) The following is a DFT calculation (PBE) of a relaxed BaCa3Si crystal.

Cell: 5.8801 5.8801 5.8801 Å, 90.00 90.00 90.00°
Last column: nearest neighbours and their distance in Å.
Sites, in units of the cell vectors:
Ca: 0.0000 0.5000 0.0000  2 Si 2.94
Ca: 0.0000 0.0000 0.5000  2 Si 2.94
Ca: 0.5000 0.0000 0.0000  2 Si 2.94
Si: 0.0000 0.0000 0.0000  6 Ca 2.94
Ba: 0.5000 0.5000 0.5000  12 Ca 4.16

Properties
density of states at the Fermi level = 1.67 states/eV per atom

Energies relative to the most stable structure are A) 1425; B) 0, reported in meV per atom.

A) The following is a DFT calculation (PBE) of a relaxed Ba2CaSm crystal.

Cell: 4.0313 4.0313 11.7732 Å, 90.00 90.00 90.00°
Last column: nearest neighbours and their distance in Å.
Sites, in units of the cell vectors:
Ca: 0.5000 0.5000 0.5000  4 Ca 4.03, 8 Ba 4.21
Ba: 0.0000 0.0000 0.7627  4 Sm 3.99, 4 Ba 4.03, 4 Ca 4.21
Ba: 0.0000 0.0000 0.2373  4 Sm 3.99, 4 Ba 4.03, 4 Ca 4.21
Sm: 0.5000 0.5000 0.0000  8 Ba 3.99, 4 Sm 4.03

Properties
density of states at the Fermi level = 1.88 states/eV per atom

B) The following is a DFT calculation (PBE) of a relaxed Ba2CaSm crystal.

Cell: 4.5197 6.4936 6.4936 Å, 90.00 90.00 90.00°
Last column: nearest neighbours and their distance in Å.
Sites, in units of the cell vectors:
Ca: 0.5000 0.5000 0.5000  8 Ba 3.96
Ba: 0.0000 0.0000 0.5000  4 Ca 3.96, 4 Sm 3.96
Ba: 0.0000 0.5000 0.0000  4 Sm 3.96, 4 Ca 3.96
Sm: 0.5000 0.0000 0.0000  8 Ba 3.96

Properties
density of states at the Fermi level = 1.16 states/eV per atom

C) The following is a DFT calculation (PBE) of a relaxed Ba2CaSm crystal.

Cell: 6.4673 6.4673 6.4673 Å, 60.00 60.00 60.00°
Last column: nearest neighbours and their distance in Å.
Sites, in units of the cell vectors:
Ca: 0.5000 0.5000 0.5000  8 Ba 3.96
Ba: 0.2500 0.2500 0.2500  4 Sm 3.96, 4 Ca 3.96
Ba: 0.7500 0.7500 0.7500  4 Ca 3.96, 4 Sm 3.96
Sm: 0.0000 0.0000 0.0000  8 Ba 3.96

Properties
density of states at the Fermi level = 1.17 states/eV per atom

Energies relative to the most stable structure are A) 0; B) 18; C) 23, reported in meV per atom.

A) The following is a DFT calculation (PBE) of a relaxed BaCaSm crystal.

Cell: 3.9524 3.9524 8.8618 Å, 102.89 102.89 90.00°
Last column: nearest neighbours and their distance in Å.
Sites, in units of the cell vectors:
Ca: 0.6795 0.6795 0.3590  4 Sm 3.73, 4 Ca 3.95
Ba: 0.9940 0.9940 0.9880  4 Ba 3.95, 4 Sm 3.97, 4 Ca 4.19
Sm: 0.3265 0.3265 0.6531  4 Ca 3.73, 4 Sm 3.95, 4 Ba 3.97

Properties
density of states at the Fermi level = 1.94 states/eV per atom

B) The following is a DFT calculation (PBE) of a relaxed BaCaSm crystal.

Cell: 3.9100 3.9100 9.7603 Å, 90.00 90.00 120.00°
Last column: nearest neighbours and their distance in Å.
Sites, in units of the cell vectors:
Ca: 0.3333 0.6667 0.6493  3 Sm 3.74, 6 Ca 3.91, 3 Ba 4.16
Ba: 0.0000 0.0000 0.0074  6 Ba 3.91, 3 Sm 3.98, 3 Ca 4.16
Sm: 0.6667 0.3333 0.3433  3 Ca 3.74, 6 Sm 3.91, 3 Ba 3.98

Properties
density of states at the Fermi level = 1.61 states/eV per atom

Energies relative to the most stable structure are A) 5; B) 0, reported in meV per atom.